Entry from Alexandria via LeMat-Bulk: MnReI2O after structural relaxation (GGA+U).

Unit cell a=5.658 b=5.658 c=3.787 alpha=90.00 beta=90.00 gamma=90.00
Site moments in Bohr magnetons follow the coordinates.
Atoms (fractional coordinates):
I 0.000 0.500 0.000  0.04
I 0.500 0.000 0.000  0.04
Re 0.000 0.000 0.000  -0.04
Mn 0.500 0.500 0.500  4.81
O 0.000 0.000 0.500  0.00

Output
SG = P4/mmm

Entry from Alexandria via LeMat-Bulk: MnRhIO2 after structural relaxation (GGA+U).

Unit cell a=3.764 b=3.764 c=6.679 alpha=90.00 beta=90.00 gamma=90.00
Site moments in Bohr magnetons follow the coordinates.
Atoms (fractional coordinates):
I 0.000 0.000 0.500  -0.04
Mn 0.000 0.000 0.000  3.77
Rh 0.500 0.500 0.500  -0.63
O 0.000 0.500 0.000  -0.38
O 0.500 0.000 0.000  -0.38

Output
SG = P4/mmm

Entry from Alexandria via LeMat-Bulk: MnRhIO2 after structural relaxation (GGA+U).

Unit cell a=3.899 b=3.899 c=6.550 alpha=90.00 beta=90.00 gamma=90.00
Site moments in Bohr magnetons follow the coordinates.
Atoms (fractional coordinates):
I 0.000 0.000 0.500  0.04
Mn 0.500 0.500 0.500  4.60
Rh 0.000 0.000 0.000  0.04
O 0.000 0.500 0.000  0.02
O 0.500 0.000 0.000  0.02

Output
SG = P4/mmm

Entry from Alexandria via LeMat-Bulk: MnRuI2O after structural relaxation (GGA+U).

Unit cell a=5.717 b=5.717 c=3.677 alpha=90.00 beta=90.00 gamma=90.00
Site moments in Bohr magnetons follow the coordinates.
Atoms (fractional coordinates):
I 0.000 0.500 0.000  0.09
I 0.500 0.000 0.000  0.09
Ru 0.500 0.500 0.500  2.65
Mn 0.000 0.000 0.000  4.08
O 0.000 0.000 0.500  -0.04

Output
SG = P4/mmm

Entry from Alexandria via LeMat-Bulk: MnRuI2O after structural relaxation (GGA+U).

Unit cell a=5.612 b=5.612 c=3.767 alpha=90.00 beta=90.00 gamma=90.00
Site moments in Bohr magnetons follow the coordinates.
Atoms (fractional coordinates):
I 0.000 0.500 0.000  0.03
I 0.500 0.000 0.000  0.03
Ru 0.000 0.000 0.000  -0.09
Mn 0.500 0.500 0.500  4.78
O 0.000 0.000 0.500  -0.02

Output
SG = P4/mmm

Entry from Alexandria via LeMat-Bulk: MnSI2O after structural relaxation (GGA+U).

Unit cell a=5.715 b=5.715 c=3.680 alpha=90.00 beta=90.00 gamma=90.00
Site moments in Bohr magnetons follow the coordinates.
Atoms (fractional coordinates):
I 0.000 0.500 0.000  0.03
I 0.500 0.000 0.000  0.03
S 0.000 0.000 0.000  0.00
Mn 0.500 0.500 0.500  4.77
O 0.000 0.000 0.500  0.01

Output
SG = P4/mmm

Number 1: ΔE to the lowest computed polymorph 0 meV/atom, VASP energy -27.8 eV/cell. Number 2: ΔE to the lowest computed polymorph 0 meV/atom, VASP energy -27.1 eV/cell. Number 3: ΔE to the lowest computed polymorph 129 meV/atom, VASP energy -26.4 eV/cell. Number 4: ΔE to the lowest computed polymorph 361 meV/atom, VASP energy -23.3 eV/cell. Number 5: ΔE to the lowest computed polymorph 0 meV/atom, VASP energy -25.1 eV/cell. Number 6: ΔE to the lowest computed polymorph 146 meV/atom, VASP energy -18.5 eV/cell.